(1)
Computed, not measured: an optimized crystal structure of SrMgCo2 at the PBE level of DFT.

Calculated values
Raw total energy, eV per cell: -30.60

Cell lengths 4.634, 4.634, 9.562 Å; angles 75.98, 75.98, 90.00 degrees
Last column: magnetic moment on the atom in μB.
Sites, in units of the cell vectors:
Co1 0.375 0.625 0.750  1.36
Co2 0.375 0.625 0.250  1.55
Co3 0.875 0.625 0.750  1.36
Co4 0.375 0.125 0.250  1.55
Mg1 0.500 0.500 0.000  -0.03
Mg2 0.250 0.750 0.500  -0.03
Sr1 0.750 0.250 0.500  -0.07
Sr2 0.000 0.000 0.000  -0.07

---

(2)
Computed, not measured: an optimized crystal structure of Zn2SO4 at the PBE level of DFT.

Calculated values
Formation energy without anion corrections, meV per atom: -439

Cell lengths 3.921, 3.921, 5.737 Å; angles 70.02, 70.02, 90.00 degrees
Sites, in units of the cell vectors:
O1 0.500 0.000 0.000
O2 0.175 0.175 0.649
O3 0.000 0.500 0.000
O4 0.825 0.825 0.351
Zn1 0.363 0.363 0.275
Zn2 0.637 0.637 0.725
S1 0.000 0.000 0.000

---

(3)
Computed, not measured: an optimized crystal structure of BeTc2Cl at the PBE level of DFT.

Calculated values
Formation energy without anion corrections, meV per atom: 497

Cell lengths 4.445, 4.445, 4.542 Å; angles 74.17, 74.17, 38.43 degrees
Sites, in units of the cell vectors:
Be1 0.492 0.492 0.587
Cl1 0.244 0.244 0.247
Tc1 0.001 0.001 0.007
Tc2 0.763 0.763 0.660

---

(4)
Computed, not measured: an optimized crystal structure of Ac8Si3HgI4 at the PBE level of DFT.

Calculated values
Formation energy without anion corrections, meV per atom: -847

Cell lengths 9.327, 9.644, 9.327 Å; angles 118.92, 120.00, 90.00 degrees
Sites, in units of the cell vectors:
Ac1 0.266 0.299 0.533
Ac2 0.727 0.707 0.967
Ac3 0.273 0.293 0.033
Ac4 0.240 0.707 0.967
Ac5 0.240 0.707 0.480
Ac6 0.760 0.293 0.520
Ac7 0.734 0.701 0.467
Ac8 0.760 0.293 0.033
Si1 0.500 0.500 0.500
Si2 0.000 0.500 0.500
Si3 0.500 0.500 0.000
I1 0.000 0.000 0.000
I2 0.000 0.000 0.500
I3 0.500 0.000 0.500
I4 0.500 0.000 0.000
Hg1 0.000 0.500 0.000

---

(5)
Computed, not measured: an optimized crystal structure of Y6HoMg5 at the PBE level of DFT.

Calculated values
Raw total energy, eV per cell: -51.92

Cell lengths 5.385, 7.744, 8.574 Å; angles 90.00, 108.45, 90.00 degrees
Sites, in units of the cell vectors:
Y1 0.168 0.254 0.340
Y2 0.500 0.739 0.000
Y3 0.832 0.746 0.660
Y4 0.832 0.254 0.660
Y5 0.500 0.261 0.000
Y6 0.168 0.746 0.340
Mg1 0.340 0.000 0.676
Mg2 0.000 0.500 0.000
Mg3 0.660 0.000 0.324
Mg4 0.337 0.500 0.666
Mg5 0.663 0.500 0.334
Ho1 0.000 0.000 0.000

---

(6)
Computed, not measured: an optimized crystal structure of Ce2DyNb at the PBE level of DFT.

Calculated values
Raw total energy, eV per cell: -24.77

Cell lengths 3.162, 3.162, 11.935 Å; angles 82.39, 82.39, 60.00 degrees
Sites, in units of the cell vectors:
Ce1 0.921 0.921 0.237
Ce2 0.079 0.079 0.763
Dy1 0.500 0.500 0.500
Nb1 0.000 0.000 0.000

---

(7)
Computed, not measured: an optimized crystal structure of Na2Mg at the PBE level of DFT.

Calculated values
Raw total energy, eV per cell: -3.96

Cell lengths 8.409, 8.409, 8.409 Å; angles 156.65, 156.65, 33.25 degrees
Sites, in units of the cell vectors:
Na1 0.343 0.343 0.000
Na2 0.657 0.657 0.000
Mg1 0.000 0.000 0.000

---

(8)
Computed, not measured: an optimized crystal structure of Ba2SBr at the PBE level of DFT.

Calculated values
Formation energy without anion corrections, meV per atom: -1624

Cell lengths 7.418, 7.418, 8.856 Å; angles 65.24, 65.24, 90.00 degrees
Last column: magnetic moment on the atom in μB.
Sites, in units of the cell vectors:
Ba1 0.589 0.125 0.250  0.08
Ba2 0.875 0.839 0.750  0.08
Ba3 0.375 0.411 0.750  0.08
Ba4 0.161 0.625 0.250  0.08
Br1 0.000 0.000 0.000  0.01
Br2 0.750 0.250 0.500  0.01
S1 0.500 0.500 0.000  0.00
S2 0.250 0.750 0.500  0.00

---

(9)
Computed, not measured: an optimized crystal structure of Tb2LuIr at the PBE level of DFT.

Calculated values
Raw total energy, eV per cell: -23.70

Cell lengths 3.828, 3.828, 9.559 Å; angles 78.45, 78.45, 60.00 degrees
Last column: magnetic moment on the atom in μB.
Sites, in units of the cell vectors:
Tb1 0.726 0.726 0.822  -0.09
Tb2 0.274 0.274 0.178  -0.09
Lu1 0.500 0.500 0.500  -0.30
Ir1 0.000 0.000 0.000  -0.02

---

(10)
Computed, not measured: an optimized crystal structure of LiRh2Se at the PBE level of DFT.

Calculated values
Formation energy without anion corrections, meV per atom: -223

Cell lengths 4.167, 2.900, 5.076 Å; angles 73.43, 90.00, 90.00 degrees
Sites, in units of the cell vectors:
Se1 0.000 0.306 0.515
Li1 0.500 0.699 0.728
Rh1 0.500 0.438 0.249
Rh2 0.000 0.057 0.008

---

(11)
Computed, not measured: an optimized crystal structure of CoMoAs at the PBE level of DFT.

Calculated values
Raw total energy, eV per cell: -22.49

Cell lengths 4.075, 4.075, 2.844 Å; angles 90.00, 90.00, 120.00 degrees
Last column: magnetic moment on the atom in μB.
Sites, in units of the cell vectors:
Mo1 0.667 0.333 0.667  0.19
As1 0.000 0.000 0.167  -0.01
Co1 0.333 0.667 0.166  0.68

---

(12)
Computed, not measured: an optimized crystal structure of Sc3PbSe at the PBE level of DFT.

Calculated values
Formation energy without anion corrections, meV per atom: 324

Cell lengths 5.420, 5.420, 5.420 Å; angles 90.00, 90.00, 90.00 degrees
Last column: magnetic moment on the atom in μB.
Sites, in units of the cell vectors:
Se1 0.500 0.500 0.500  -0.07
Sc1 0.000 0.500 0.000  0.49
Sc2 0.000 0.000 0.500  0.58
Sc3 0.500 0.000 0.000  0.57
Pb1 0.000 0.000 0.000  -0.02